YTaIO2: optimized geometry, PBE-GGA.

As for the total magnetization: 0.694 Bohr magnetons per cell. The uncorrected formation energy comes out at -115.05 kJ/mol of atoms.

a = 4.063 Å, b = 4.063 Å, c = 6.116 Å
α = 90.00°, β = 90.00°, γ = 90.00°
Each line ends with the local moment (μB).
Fractional positions:
O  0.000  0.500  0.000  0.00
Y  0.500  0.500  0.500  0.09
O  0.500  0.000  0.000  0.00
I  0.000  0.000  0.500  0.02
Ta  0.000  0.000  0.000  0.35

YTaIO2: optimized geometry, PBE-GGA.

As for the total magnetization: 2.925 Bohr magnetons per cell. The uncorrected formation energy comes out at -39.17 kJ/mol of atoms.

a = 4.341 Å, b = 4.341 Å, c = 6.078 Å
α = 90.00°, β = 90.00°, γ = 90.00°
Each line ends with the local moment (μB).
Fractional positions:
O  0.000  0.500  0.000  -0.18
Y  0.000  0.000  0.000  0.02
I  0.000  0.000  0.500  0.01
O  0.500  0.000  0.000  -0.18
Ta  0.500  0.500  0.500  2.17

YTaI2O: optimized geometry, PBE-GGA.

As for the total magnetization: 3.607 Bohr magnetons per cell. The uncorrected formation energy comes out at -20.23 kJ/mol of atoms.

a = 6.104 Å, b = 6.104 Å, c = 4.110 Å
α = 90.00°, β = 90.00°, γ = 90.00°
Each line ends with the local moment (μB).
Fractional positions:
O  0.000  0.000  0.500  0.01
Ta  0.500  0.500  0.500  2.25
Y  0.000  0.000  0.000  0.01
I  0.500  0.000  0.000  -0.02
I  0.000  0.500  0.000  -0.02

YTaIO4: optimized geometry, PBE-GGA.

As for the total magnetization: 0.000 Bohr magnetons per cell. The uncorrected formation energy comes out at -251.14 kJ/mol of atoms.

a = 7.296 Å, b = 7.296 Å, c = 6.840 Å
α = 75.03°, β = 75.03°, γ = 52.04°
Fractional positions:
Y  0.706  0.706  0.178
I  0.959  0.959  0.704
I  0.041  0.041  0.296
Ta  0.388  0.388  0.208
O  0.453  0.911  0.873
Ta  0.612  0.612  0.792
O  0.660  0.660  0.509
O  0.911  0.453  0.873
O  0.089  0.547  0.127
O  0.461  0.461  0.846
O  0.547  0.089  0.127
O  0.340  0.340  0.491
Y  0.294  0.294  0.822
O  0.539  0.539  0.154

YTaI2O: optimized geometry, PBE-GGA.

As for the total magnetization: 0.061 Bohr magnetons per cell. The uncorrected formation energy comes out at -57.71 kJ/mol of atoms.

a = 5.835 Å, b = 5.835 Å, c = 3.858 Å
α = 90.00°, β = 90.00°, γ = 90.00°
Each line ends with the local moment (μB).
Fractional positions:
Ta  0.000  0.000  0.000  0.19
O  0.000  0.000  0.500  -0.01
I  0.000  0.500  0.000  0.00
I  0.500  0.000  0.000  0.00
Y  0.500  0.500  0.500  -0.10

TaZnIO2: optimized geometry, PBE-GGA.

As for the total magnetization: 0.000 Bohr magnetons per cell. The uncorrected formation energy comes out at -114.28 kJ/mol of atoms.

a = 3.989 Å, b = 3.989 Å, c = 6.083 Å
α = 90.00°, β = 90.00°, γ = 90.00°
Fractional positions:
I  0.000  0.000  0.500
O  0.000  0.500  0.000
Ta  0.000  0.000  0.000
O  0.500  0.000  0.000
Zn  0.500  0.500  0.500

TaZnI2O: optimized geometry, PBE-GGA.

As for the total magnetization: 0.537 Bohr magnetons per cell. The uncorrected formation energy comes out at -53.60 kJ/mol of atoms.

a = 5.762 Å, b = 5.762 Å, c = 3.901 Å
α = 90.00°, β = 90.00°, γ = 90.00°
Each line ends with the local moment (μB).
Fractional positions:
I  0.000  0.500  0.000  0.00
Ta  0.000  0.000  0.000  0.42
Zn  0.500  0.500  0.500  -0.01
O  0.000  0.000  0.500  -0.02
I  0.500  0.000  0.000  0.00

TaZnIO2: optimized geometry, PBE-GGA.

As for the total magnetization: 1.598 Bohr magnetons per cell. The uncorrected formation energy comes out at 50.05 kJ/mol of atoms.

a = 4.043 Å, b = 4.043 Å, c = 5.136 Å
α = 90.00°, β = 90.00°, γ = 90.00°
Each line ends with the local moment (μB).
Fractional positions:
O  0.500  0.000  0.000  -0.22
Zn  0.000  0.000  0.000  -0.01
O  0.000  0.500  0.000  -0.22
Ta  0.500  0.500  0.500  1.50
I  0.000  0.000  0.500  0.00

TaZnI2O: optimized geometry, PBE-GGA.

As for the total magnetization: 2.017 Bohr magnetons per cell. The uncorrected formation energy comes out at 39.65 kJ/mol of atoms.

a = 5.655 Å, b = 5.655 Å, c = 3.563 Å
α = 90.00°, β = 90.00°, γ = 90.00°
Each line ends with the local moment (μB).
Fractional positions:
Ta  0.500  0.500  0.500  1.46
I  0.000  0.500  0.000  -0.06
I  0.500  0.000  0.000  -0.06
O  0.000  0.000  0.500  -0.02
Zn  0.000  0.000  0.000  0.00

ZrTaIO2: optimized geometry, PBE-GGA.

As for the total magnetization: 3.533 Bohr magnetons per cell. The uncorrected formation energy comes out at -58.30 kJ/mol of atoms.

a = 4.105 Å, b = 4.105 Å, c = 6.329 Å
α = 90.00°, β = 90.00°, γ = 90.00°
Each line ends with the local moment (μB).
Fractional positions:
I  0.000  0.000  0.500  0.03
Zr  0.000  0.000  0.000  0.03
O  0.000  0.500  0.000  0.04
O  0.500  0.000  0.000  0.04
Ta  0.500  0.500  0.500  2.13

ZrTaI2O: optimized geometry, PBE-GGA.

As for the total magnetization: 1.304 Bohr magnetons per cell. The uncorrected formation energy comes out at -20.43 kJ/mol of atoms.

a = 5.755 Å, b = 5.755 Å, c = 3.839 Å
α = 90.00°, β = 90.00°, γ = 90.00°
Each line ends with the local moment (μB).
Fractional positions:
Zr  0.500  0.500  0.500  1.38
Ta  0.000  0.000  0.000  -0.73
I  0.000  0.500  0.000  -0.02
I  0.500  0.000  0.000  -0.02
O  0.000  0.000  0.500  0.05

ZrTaI2O: optimized geometry, PBE-GGA.

As for the total magnetization: 2.786 Bohr magnetons per cell. The uncorrected formation energy comes out at -4.91 kJ/mol of atoms.

a = 5.842 Å, b = 5.842 Å, c = 3.942 Å
α = 90.00°, β = 90.00°, γ = 90.00°
Each line ends with the local moment (μB).
Fractional positions:
Ta  0.500  0.500  0.500  2.00
Zr  0.000  0.000  0.000  -0.30
O  0.000  0.000  0.500  0.03
I  0.000  0.500  0.000  -0.01
I  0.500  0.000  0.000  -0.01